This record from Alexandria via LeMat-Bulk describes a geometry-optimized NaPrTlPb structure. The functional is GGA-PBE.

Energy relative to the lowest polymorph listed for this composition (meV/atom): 47
VASP energy (eV per atom): -3.33
SG: F-43m

Cell lengths 5.504, 5.504, 5.504 Å; angles 60.00, 60.00, 60.00 degrees
Sites, in units of the cell vectors:
Tl 0.250 0.250 0.250
Pr 0.500 0.500 0.500
Pb 0.750 0.750 0.750
Na 0.000 0.000 0.000